Entry 1:
A plane-wave DFT calculation with PBE was carried out for a relaxed CoAg2P crystal.

Calculated values
V: 15.02 Å³/atom
ΔE_f: 0.00 eV per atom
uncorrected energy: -4.554 eV per atom

Cell lengths 2.900, 2.900, 7.142 Å; angles 90.00, 90.00, 89.99 degrees
Sites, in units of the cell vectors:
Ag1 0.000 0.000 0.979
Ag2 0.500 0.500 0.276
Co1 0.000 0.000 0.558
P1 0.500 0.500 0.686



Entry 2:
A plane-wave DFT calculation with PBE was carried out for a relaxed CoAg2P crystal.

Calculated values
V: 16.21 Å³/atom
ΔE_f: 0.10 eV per atom
uncorrected energy: -4.452 eV per atom

Cell lengths 3.831, 3.831, 6.335 Å; angles 82.52, 82.52, 44.77 degrees
Sites, in units of the cell vectors:
Ag1 0.003 0.003 0.029
Ag2 0.763 0.763 0.716
Co1 0.510 0.510 0.418
P1 0.224 0.224 0.337



Entry 3:
A plane-wave DFT calculation with PBE was carried out for a relaxed Co2AgP crystal.

Calculated values
V: 13.99 Å³/atom
ΔE_f: -0.05 eV per atom
uncorrected energy: -5.669 eV per atom

Cell lengths 3.402, 3.402, 5.915 Å; angles 73.24, 73.24, 60.05 degrees
Sites, in units of the cell vectors:
Ag1 0.250 0.250 0.250
Co1 0.030 0.030 0.908
Co2 0.470 0.470 0.592
P1 0.750 0.750 0.750



Entry 4:
A plane-wave DFT calculation with PBE was carried out for a relaxed CoAg2P crystal.

Calculated values
V: 15.20 Å³/atom
ΔE_f: 0.40 eV per atom
uncorrected energy: -4.151 eV per atom

Cell lengths 4.219, 3.796, 3.796 Å; angles 90.00, 90.00, 90.00 degrees
Sites, in units of the cell vectors:
Ag1 0.000 0.000 0.000
Ag2 0.000 0.500 0.500
Co1 0.500 0.500 0.000
P1 0.500 0.000 0.500



Entry 5:
A plane-wave DFT calculation with PBE was carried out for a relaxed CoAgP4 crystal.

Calculated values
V: 15.33 Å³/atom
ΔE_f: 0.76 eV per atom
uncorrected energy: -4.502 eV per atom

Cell lengths 5.066, 5.066, 5.066 Å; angles 60.00, 60.00, 60.00 degrees
Sites, in units of the cell vectors:
Co1 0.000 0.000 0.000
Ag1 0.250 0.250 0.250
P1 0.627 0.627 0.120
P2 0.627 0.120 0.627
P3 0.627 0.627 0.627
P4 0.120 0.627 0.627



Entry 6:
A plane-wave DFT calculation with PBE was carried out for a relaxed CoAg2P crystal.

Calculated values
V: 15.55 Å³/atom
ΔE_f: 0.06 eV per atom
uncorrected energy: -4.497 eV per atom

Cell lengths 8.404, 8.404, 8.404 Å; angles 20.25, 20.25, 20.25 degrees
Sites, in units of the cell vectors:
Ag1 0.005 0.005 0.005
Ag2 0.242 0.242 0.242
Co1 0.487 0.487 0.487
P1 0.767 0.767 0.767